# 1
This record from Alexandria describes an optimized crystal structure of CrSbCl2. The functional is PBE.

ΔE to the lowest computed polymorph = 207 meV/atom
E_tot = -4.5552 eV/atom
Spin magnetization = 4.5 μB per formula unit

a = 4.7597 Å, b = 4.7848 Å, c = 8.2819 Å
α = 90.00°, β = 90.00°, γ = 90.00°
Last column: nearest neighbours and their distance in Å.
Space group Cmm2 (No. 35)
Inequivalent atoms, fractional coordinates:
Cr 0.0000 0.0000 0.0000 (multiplicity 2)  4 Cl 2.71-2.72, 4 Sb 3.00-3.01
Sb 0.0000 0.5000 0.2197 (multiplicity 2)  4 Cr 3.00-3.01, 5 Cl 3.02-3.12
Cl 0.0000 0.0000 0.4449 (multiplicity 2)  4 Sb 3.02-3.03, 4 Cl 3.37
Cl 0.0000 0.5000 0.8429 (multiplicity 2)  4 Cr 2.71-2.72



# 2
This record from Alexandria describes an optimized crystal structure of InSiHg. The functional is PBE.

ΔE to the lowest computed polymorph = 223 meV/atom
E_tot = -2.4231 eV/atom
Spin magnetization = 0.0 μB per formula unit

a = 3.1801 Å, b = 4.0461 Å, c = 10.5333 Å
α = 90.00°, β = 90.00°, γ = 90.00°
Last column: nearest neighbours and their distance in Å.
Space group Imm2 (No. 44)
Inequivalent atoms, fractional coordinates:
In 0.0000 0.0000 0.0000 (multiplicity 2)  4 Si 3.02, 2 In 3.18, 5 Hg 3.24-3.27
Si 0.0000 0.0000 0.6506 (multiplicity 2)  4 In 3.02, 4 Hg 3.06, 2 Si 3.18
Hg 0.0000 0.0000 0.3078 (multiplicity 2)  4 Si 3.06, 2 Hg 3.18, 5 In 3.24-3.27



# 3
This record from Alexandria describes an optimized crystal structure of SrRu2Rh. The functional is PBE.

ΔE to the lowest computed polymorph = 365 meV/atom
Energy relative to the elements = 0.740 eV/atom
E_tot = -6.1564 eV/atom
Spin magnetization = 0.0 μB per formula unit

a = 4.0465 Å, b = 4.0465 Å, c = 8.6099 Å
α = 90.00°, β = 90.00°, γ = 90.00°
Last column: nearest neighbours and their distance in Å.
Space group I4/mmm (No. 139)
Inequivalent atoms, fractional coordinates:
Sr 0.0000 0.0000 0.0000 (multiplicity 2)  4 Rh 2.86, 8 Ru 2.95
Ru 0.0000 0.5000 0.2500 (multiplicity 4)  4 Ru 2.86, 4 Rh 2.95, 4 Sr 2.95
Rh 0.0000 0.0000 0.5000 (multiplicity 2)  4 Sr 2.86, 8 Ru 2.95



# 4
This record from Alexandria describes an optimized crystal structure of Ga3BiP. The functional is PBE.

ΔE to the lowest computed polymorph = 0 meV/atom
Energy relative to the elements = 0.167 eV/atom
E_tot = -3.5077 eV/atom
Spin magnetization = 0.0 μB per formula unit

a = 4.8671 Å, b = 4.8671 Å, c = 4.8671 Å
α = 90.00°, β = 90.00°, γ = 90.00°
Last column: nearest neighbours and their distance in Å.
Space group Pm-3m (No. 221)
Inequivalent atoms, fractional coordinates:
Ga 0.0000 0.0000 0.5000 (multiplicity 3)  2 P 2.43
Bi 0.5000 0.5000 0.5000 (multiplicity 1)  12 Ga 3.44
P 0.0000 0.0000 0.0000 (multiplicity 1)  6 Ga 2.43



> What is the ΔE to the lowest computed polymorph in the second record?

223 meV/atom



> The highest E_tot belongs to which entry?

InSiHg